(1)
Entry from Alexandria via LeMat-Bulk: CePu2Pd4 after structural relaxation (PBE).

```
7
Lattice="4.611 -3.577 0.000 4.611 3.577 0.000 -3.687 0.000 4.547" Properties=species:S:1:pos:R:3 pbc="T T T"
Ce 0.000 0.000 0.000
Pu 1.693 0.000 3.286
Pu 3.841 0.000 1.261
Pd 1.772 2.171 1.278
Pd 3.762 2.171 3.269
Pd 1.772 -2.171 1.278
Pd 3.762 -2.171 3.269
```

As for the density of states at the Fermi level: 22.2 states/eV per cell. Its crystal system is monoclinic. The value obtained for the formation energy is -0.480 eV per atom.


(2)
Entry from Alexandria via LeMat-Bulk: HgRu2 after structural relaxation (PBE).

```
6
Lattice="-3.144 3.144 2.673 3.144 -3.144 2.673 3.144 3.144 -2.673" Properties=species:S:1:pos:R:3 pbc="T T T"
Hg 0.000 0.000 1.337
Hg 0.000 0.000 4.010
Ru 3.944 0.799 0.000
Ru 0.799 2.345 0.000
Ru 2.345 0.799 2.673
Ru -0.799 2.345 2.673
```

As for the density of states at the Fermi level: 9.6 states/eV per cell. Its crystal system is tetragonal. As for the energy above the most stable polymorph in this dataset: 0.685 eV per atom. The value obtained for the formation energy is 0.997 eV per atom.


(3)
Entry from Alexandria via LeMat-Bulk: Ru2PbCl after structural relaxation (PBE).

```
4
Lattice="3.224 0.000 0.000 0.000 3.224 0.000 0.000 0.000 6.547" Properties=species:S:1:pos:R:3 pbc="T T T"
Ru 0.000 0.000 1.541
Ru 0.000 0.000 5.005
Pb 1.612 1.612 3.273
Cl 1.612 1.612 0.000
```

The calculation puts the uncorrected formation energy at 0.8016 eV/atom. As for the density of states at the Fermi level: 5.7 states/eV per cell. Its crystal system is tetragonal. As for the energy above the most stable polymorph in this dataset: 0.636 eV per atom.